Material: Ce3Ga2Tc2
Method: DFT, PBE-GGA
State: optimized geometry

POSCAR file:
```
Ce3Ga2Tc2
1.0
7.9912 0.0000 0.0000
0.0000 4.6336 0.0000
-2.6510 0.0000 7.5068
Ce Ga Tc
6 4 4
Cartesian
0.0000 0.0000 0.0000
0.0053 0.0000 3.1305
1.3393 2.3168 4.3763
3.9956 2.3168 0.0000
4.0009 2.3168 3.1305
5.3349 0.0000 4.3763
-1.3290 2.3168 5.9131
2.6736 0.0000 1.5936
2.6666 0.0000 5.9131
6.6692 2.3168 1.5936
1.3508 2.3168 1.3542
-0.0062 0.0000 6.1525
5.3464 0.0000 1.3542
3.9894 2.3168 6.1525
```

Output
* formation energy: -0.29 eV per atom
* space-group type: C2/m, No. 12


Material: BaIn2Ni
Method: DFT, PBE-GGA
State: optimized geometry

POSCAR file:
```
BaIn2Ni
1.0
3.6235 0.0000 0.0000
0.0000 3.6235 0.0000
0.0000 0.0000 7.9942
Ba In Ni
1 2 1
Cartesian
0.0000 0.0000 0.0000
0.0000 0.0000 4.6283
1.8118 1.8118 2.6628
1.8118 1.8118 5.4961
```

Output
* formation energy: -0.04 eV per atom
* space-group type: P4mm, No. 99


Material: CaFe2AgIr
Method: DFT, PBE-GGA
State: optimized geometry

POSCAR file:
```
CaFe2AgIr
1.0
4.7321 0.0000 0.0000
0.0000 4.7321 0.0000
0.0000 0.0000 5.3208
Ca Fe Ag Ir
1 2 1 1
Cartesian
0.0000 0.0000 0.0000
0.0000 2.3661 2.6604
2.3661 0.0000 2.6604
2.3661 2.3661 0.0000
0.0000 0.0000 2.6604
```

Output
* formation energy: 0.76 eV per atom
* space-group type: P4/mmm, No. 123
* offset from the most stable computed form: 0.138 eV per atom


Material: Ta3H3Au
Method: DFT, PBE-GGA
State: optimized geometry

POSCAR file:
```
Ta3H3Au
1.0
2.6045 1.5037 7.4027
-2.6045 1.5037 7.4027
0.0000 -3.0074 7.4027
Ta H Au
6 6 2
Cartesian
-0.8580 -1.4807 8.8452
-1.7113 0.0027 13.3629
-0.8533 1.4834 8.8452
0.8534 -1.4834 13.3629
1.7113 -0.0027 8.8452
0.8580 1.4807 13.3629
-1.7454 0.0057 7.9555
-0.8777 -1.5087 14.2526
0.8677 -1.5144 7.9555
-0.8677 1.5144 14.2526
0.8777 1.5087 7.9555
1.7454 -0.0057 14.2526
0.0000 0.0000 3.7045
0.0000 0.0000 18.5036
```

Output
* space-group type: R-3, No. 148
* offset from the most stable computed form: 0.212 eV per atom


Material: La2ScTa
Method: DFT, PBE-GGA
State: optimized geometry

POSCAR file:
```
La2ScTa
1.0
6.7221 0.0000 0.0000
0.0000 9.6873 0.0000
0.0000 0.0000 3.3139
La Sc Ta
4 2 2
Cartesian
1.6805 2.4218 0.0000
1.6805 7.2654 0.0000
5.0416 2.4218 0.0000
5.0416 7.2654 0.0000
0.0000 0.0000 1.6569
3.3611 4.8436 1.6569
0.0000 4.8436 1.6569
3.3611 0.0000 1.6569
```

Output
* formation energy: 0.41 eV per atom
* space-group type: Cmmm, No. 65
* offset from the most stable computed form: 0.147 eV per atom


Material: Na2GaSbN
Method: DFT, PBE-GGA
State: optimized geometry

POSCAR file:
```
Na2GaSbN
1.0
6.1185 0.0000 0.0000
0.0000 6.1185 0.0000
0.0000 0.0000 3.4726
Na Ga Sb N
2 1 1 1
Cartesian
0.0000 3.0592 0.0000
3.0592 0.0000 0.0000
0.0000 0.0000 0.0000
3.0592 3.0592 1.7363
0.0000 0.0000 1.7363
```

Output
* space-group type: P4/mmm, No. 123
* formation energy (no corrections): 0.26 eV/atom


Material: NdNi2Sb
Method: DFT, PBE-GGA
State: optimized geometry

POSCAR file:
```
NdNi2Sb
1.0
4.3323 0.0000 0.0000
-2.1661 3.7518 0.0000
0.0000 0.0000 14.3942
Nd Ni Sb
3 6 3
Cartesian
0.0000 0.0000 0.0000
0.0000 2.5012 9.5961
2.1661 1.2506 4.7981
0.0000 0.0000 2.9072
0.0000 0.0000 11.4870
0.0000 2.5012 6.6890
0.0000 2.5012 12.5033
2.1661 1.2506 1.8909
2.1661 1.2506 7.7052
0.0000 0.0000 7.1971
0.0000 2.5012 2.3990
2.1661 1.2506 11.9952
```

Output
* space-group type: R-3m, No. 166
* formation energy (no corrections): -0.51 eV/atom


Material: HfSnSe3
Method: DFT, PBE-GGA
State: optimized geometry

POSCAR file:
```
HfSnSe3
1.0
5.1839 0.0000 0.0000
0.0000 5.1839 0.0000
0.0000 0.0000 5.1839
Hf Sn Se
1 1 3
Cartesian
0.0000 0.0000 0.0000
2.5919 2.5919 2.5919
0.0000 0.0000 2.5919
0.0000 2.5919 0.0000
2.5919 0.0000 0.0000
```

Output
* space-group type: Pm-3m, No. 221
* formation energy (no corrections): -0.58 eV/atom


no.,magnetization (μB/atom)
1,0.00
2,0.00
3,1.39
4,0.00
5,0.00
6,0.00
7,0.00
8,0.00